## NaNdFeS3 (GGA-PBE)

Data for a relaxed structure of NaNdFeS3.

Calculated values
* DFT total energy: -5.70 eV per atom
* space-group type: P2_1/m (11)

a b c (Å): 8.0019 3.9686 9.3670
angles (deg): 90.00 101.42 90.00
Closest atoms and distances in Å follow each position.
Positions (direct):
Na 0.2161 0.2500 0.2510  4 S 2.89-2.99
S 0.4323 0.7500 0.1560  3 Nd 2.81, 2 Na 2.89
S 0.2132 0.7500 0.5336  3 Fe 2.34-2.39
Nd 0.3206 0.7500 0.8519  6 S 2.81-2.94
Fe 0.0713 0.2500 0.5883  4 S 2.28-2.39
S 0.9346 0.7500 0.1697  1 Fe 2.28
S 0.7868 0.2500 0.4664  3 Fe 2.34-2.39
S 0.5677 0.2500 0.8440  3 Nd 2.81, 2 Na 2.89
Na 0.7839 0.7500 0.7490  4 S 2.89-2.99
Nd 0.6794 0.2500 0.1481  6 S 2.81-2.94
Fe 0.9287 0.7500 0.4117  4 S 2.28-2.39
S 0.0654 0.2500 0.8303  1 Fe 2.28